1.
The following is a DFT calculation (PBE-GGA) of a relaxed SrIn2NiBi crystal.

```
SrIn2NiBi
1.0
-2.3805 3.3862 2.7915
-4.2878 -1.1183 -2.3000
-1.0581 -3.9552 3.8956
In Bi Sr Ni
2 1 1 1
Direct
0.0000 0.5000 0.0000
0.5000 0.0000 0.0000
0.5000 0.5000 0.5000
0.0000 0.0000 0.5000
0.0000 0.0000 0.0000
```

Output
Distance to the lowest polymorph of the same formula, kJ/mol of formula units: 0
DFT total energy, eV/atom: -3.61
Fermi-level density of states, states/eV/cell: 2.537
Formation energy, eV/atom: -0.250



2.
The following is a DFT calculation (PBE-GGA) of a relaxed Ta2InNiBi crystal.

```
Ta2InNiBi
1.0
5.1451 0.0000 0.0000
0.0000 4.5569 0.0000
0.0000 0.0000 5.1451
Bi Ni In Ta
1 1 1 2
Direct
0.5000 0.5000 0.5000
0.0000 0.5000 0.0000
0.0000 0.0000 0.0000
0.0000 0.0000 0.5000
0.5000 0.0000 0.0000
```

Output
DFT total energy, eV/atom: -5.61
Fermi-level density of states, states/eV/cell: 6.673
Formation energy, eV/atom: 1.612



- Fermi-level density of states of number 2 (Ta2InNiBi)?
  6.673 states/eV/cell